Density functional theory data (PBE-GGA) for an optimized crystal structure of Pm6Pr3Tm2Mg.

The structure belongs to space group C2/m (No. 12); the cell edges are 6.282, 10.904 and 11.868 Å and the angles 90.00°, 100.30° and 90.00°. The inequivalent atoms are Pm at (0.245, 0.166, 0.242), Pm at (0.247, 0.500, 0.243), Pr at (0.000, 0.167, 0.500), Pr at (0.000, 0.500, 0.500), Tm at (0.000, 0.334, 0.000) and Mg at (0.000, 0.000, 0.000).

The value obtained for the total energy is -4.41 eV/atom. The value obtained for the formation energy is 0.03 eV/atom.



Density functional theory data (PBE-GGA) for an optimized crystal structure of DyHf2Nb.

The structure belongs to space group P4/mmm (No. 123); the cell edges are 3.523, 3.523 and 7.532 Å and the angles 90.00°, 90.00° and 90.00°. The inequivalent atoms are Dy at (0.000, 0.000, 0.000), Hf at (0.500, 0.500, 0.297) and Nb at (0.000, 0.000, 0.500).

For the offset from the most stable computed form, the calculation gives 0 kJ/mol of formula units. The value obtained for the total energy is -8.53 eV/atom. The value obtained for the formation energy is 0.12 eV/atom.



Density functional theory data (PBE-GGA) for an optimized crystal structure of SrAg6.

The structure belongs to space group Im-3m (No. 229); the cell edges are 7.459, 7.459 and 7.459 Å and the angles 90.00°, 90.00° and 90.00°. The inequivalent atoms are Sr at (0.000, 0.000, 0.000) and Ag at (0.000, 0.250, 0.500).

For the offset from the most stable computed form, the calculation gives 308 kJ/mol of formula units. The value obtained for the total energy is -2.36 eV/atom. The value obtained for the formation energy is 0.33 eV/atom.